No. 1
DFT (GGA-PBEsol) results for a relaxed structure of Ba2CdIn.

abc: 8.329 8.329 8.329
angles: 90.00 90.00 90.00
Sites, in units of the cell vectors:
Ba  0.250  0.250  0.250
Ba  0.250  0.250  0.750
Ba  0.250  0.750  0.250
Ba  0.250  0.750  0.750
Ba  0.750  0.250  0.250
Ba  0.750  0.250  0.750
Ba  0.750  0.750  0.250
Ba  0.750  0.750  0.750
Cd  0.000  0.000  0.000
Cd  0.000  0.500  0.500
Cd  0.500  0.000  0.500
Cd  0.500  0.500  0.000
In  0.000  0.000  0.500
In  0.000  0.500  0.000
In  0.500  0.000  0.000
In  0.500  0.500  0.500

Summary:
total energy = -2.483 eV/atom
symmetry = Fm-3m (225)
N(E_F) = 12.110 states/eV per cell

No. 2
DFT (GGA-PBEsol) results for a relaxed structure of BaCd2InNi.

abc: 5.040 5.040 5.443
angles: 90.00 90.00 90.00
Sites, in units of the cell vectors:
Ba  0.000  0.000  0.000
Cd  0.000  0.500  0.500
Cd  0.500  0.000  0.500
In  0.500  0.500  0.000
Ni  0.000  0.000  0.500

Summary:
total energy = -2.671 eV/atom
symmetry = P4/mmm (123)
N(E_F) = 3.969 states/eV per cell

No. 3
DFT (GGA-PBEsol) results for a relaxed structure of Ba2YCdIn.

abc: 6.480 6.480 5.201
angles: 90.00 90.00 90.00
Sites, in units of the cell vectors:
Ba  0.000  0.500  0.000
Ba  0.500  0.000  0.000
Y  0.000  0.000  0.500
Cd  0.500  0.500  0.500
In  0.500  0.500  0.000

Summary:
total energy = -2.704 eV/atom
symmetry = P4/mmm (123)
N(E_F) = 6.331 states/eV per cell

No. 4
DFT (GGA-PBEsol) results for a relaxed structure of BaCdIr2.

abc: 3.423 3.423 7.125
angles: 90.00 90.00 90.00
Sites, in units of the cell vectors:
Ba  0.000  0.000  0.000
Cd  0.000  0.000  0.500
Ir  0.500  0.500  0.310
Ir  0.500  0.500  0.690

Summary:
total energy = -5.195 eV/atom
symmetry = P4/mmm (123)
N(E_F) = 7.000 states/eV per cell

No. 5
DFT (GGA-PBEsol) results for a relaxed structure of BaCd2Ir.

abc: 8.042 4.649 6.287
angles: 90.00 115.37 90.00
Sites, in units of the cell vectors:
Ba  0.000  0.000  0.000
Ba  0.500  0.500  0.000
Cd  0.202  0.000  0.604
Cd  0.298  0.500  0.396
Cd  0.702  0.500  0.604
Cd  0.798  0.000  0.396
Ir  0.000  0.500  0.500
Ir  0.500  0.000  0.500

Summary:
total energy = -3.604 eV/atom
symmetry = C2/m (12)
N(E_F) = 4.943 states/eV per cell

No. 6
DFT (GGA-PBEsol) results for a relaxed structure of BaCdIr2.

abc: 11.681 3.005 5.676
angles: 90.00 118.48 90.00
Sites, in units of the cell vectors:
Ba  0.000  0.000  0.000
Ba  0.500  0.500  0.000
Cd  0.186  0.000  0.700
Cd  0.686  0.500  0.700
Ir  0.274  0.500  0.407
Ir  0.458  0.000  0.444
Ir  0.774  0.000  0.407
Ir  0.958  0.500  0.444

Summary:
total energy = -5.394 eV/atom
symmetry = Cm (8)
N(E_F) = 3.869 states/eV per cell

No. 7
DFT (GGA-PBEsol) results for a relaxed structure of BaCd2Ir.

abc: 4.913 5.711 7.366
angles: 90.00 90.00 90.00
Sites, in units of the cell vectors:
Ba  0.000  0.000  0.000
Ba  0.500  0.500  0.500
Cd  0.000  0.000  0.523
Cd  0.000  0.500  0.797
Cd  0.500  0.000  0.297
Cd  0.500  0.500  0.023
Ir  0.000  0.500  0.174
Ir  0.500  0.000  0.674

Summary:
total energy = -3.389 eV/atom
symmetry = Imm2 (44)
N(E_F) = 4.847 states/eV per cell

No. 8
DFT (GGA-PBEsol) results for a relaxed structure of BaCdIr2.

abc: 4.369 4.369 4.201
angles: 90.00 90.00 90.00
Sites, in units of the cell vectors:
Ba  0.000  0.000  0.000
Cd  0.500  0.500  0.000
Ir  0.000  0.500  0.500
Ir  0.500  0.000  0.500

Summary:
total energy = -5.123 eV/atom
symmetry = P4/mmm (123)
N(E_F) = 4.304 states/eV per cell

For each record above, in turn, the calculated ΔE_f values are -140; 32; 172; 213; -5; 137; 78; 241 kJ/mol of formula units.